# GGA-PBEsol GeAsF2, optimized geometry
# DFT total energy (eV per atom): -4.482
data_GeAsF2
_cell_length_a 2.8460
_cell_length_b 2.8460
_cell_length_c 23.8872
_cell_angle_alpha 90.00
_cell_angle_beta 90.00
_cell_angle_gamma 120.00
_space_group_name_H-M_alt 'R -3 m'
_space_group_IT_number 166
_space_group_name_Hall '-R 3 2"'
loop_
_atom_site_label
_atom_site_type_symbol
_atom_site_fract_x
_atom_site_fract_y
_atom_site_fract_z
Ge1 Ge 0.0000 0.0000 0.0000
As1 As 0.0000 0.0000 0.5000
F1 F 0.0000 0.0000 0.0854


# GGA-PBEsol ScSnW3, optimized geometry
# Energy relative to the elements (eV per formula unit): 11.6
# Relative energy among the computed polymorphs (meV/atom): 6.6
# DFT total energy (eV per atom): -8.143
data_ScSnW3
_cell_length_a 4.845
_cell_length_b 4.845
_cell_length_c 4.845
_cell_angle_alpha 90.00
_cell_angle_beta 90.00
_cell_angle_gamma 90.00
_space_group_name_H-M_alt 'P m -3 m'
_space_group_IT_number 221
_space_group_name_Hall '-P 4 2 3'
loop_
_atom_site_label
_atom_site_type_symbol
_atom_site_fract_x
_atom_site_fract_y
_atom_site_fract_z
Sc1 Sc 0.000 0.000 0.000
Sn1 Sn 0.500 0.500 0.500
W1 W 0.000 0.500 0.500


# GGA-PBEsol Y2MgP, optimized geometry
# Energy relative to the elements (eV per formula unit): -2.2
# Relative energy among the computed polymorphs (meV/atom): 232.0
# DFT total energy (eV per atom): -5.850
data_Y2MgP
_cell_length_a 3.601
_cell_length_b 4.723
_cell_length_c 10.801
_cell_angle_alpha 90.00
_cell_angle_beta 90.00
_cell_angle_gamma 90.00
_space_group_name_H-M_alt 'I m m 2'
_space_group_IT_number 44
_space_group_name_Hall 'I 2 -2'
loop_
_atom_site_label
_atom_site_type_symbol
_atom_site_fract_x
_atom_site_fract_y
_atom_site_fract_z
Y1 Y 0.000 0.000 0.000
Y2 Y 0.000 0.500 0.210
Mg1 Mg 0.000 0.500 0.804
P1 P 0.000 0.000 0.496


# GGA-PBEsol CsAsAuSe2, optimized geometry
# DFT total energy (eV per atom): -3.488
data_CsAsAuSe2
_cell_length_a 5.327
_cell_length_b 5.327
_cell_length_c 4.900
_cell_angle_alpha 90.00
_cell_angle_beta 90.00
_cell_angle_gamma 90.00
_space_group_name_H-M_alt 'P 4/m m m'
_space_group_IT_number 123
_space_group_name_Hall '-P 4 2'
loop_
_atom_site_label
_atom_site_type_symbol
_atom_site_fract_x
_atom_site_fract_y
_atom_site_fract_z
Cs1 Cs 0.000 0.000 0.000
As1 As 0.500 0.500 0.000
Au1 Au 0.500 0.500 0.500
Se1 Se 0.000 0.500 0.500